Record 1
# LaErTh, optimized geometry, DFT PBE
data_LaErTh
_cell_length_a 5.7489
_cell_length_b 5.7489
_cell_length_c 3.4733
_cell_angle_alpha 90.00
_cell_angle_beta 90.00
_cell_angle_gamma 120.00
_space_group_name_H-M_alt 'P -6 m 2'
_space_group_IT_number 187
_space_group_name_Hall 'P -6 2'
loop_
_atom_site_label
_atom_site_type_symbol
_atom_site_fract_x
_atom_site_fract_y
_atom_site_fract_z
La1 La 0.0000 0.0000 0.0000
Er1 Er 0.6667 0.3333 0.5000
Th1 Th 0.3333 0.6667 0.0000
# Crystal system = hexagonal
# V = 33.14 Å³ per atom
# Formation energy = 0.10 eV per atom
# ΔE to the lowest computed polymorph = 63.5 meV per atom

---

Record 2
# KAl, optimized geometry, DFT PBE
data_KAl
_cell_length_a 4.628
_cell_length_b 4.628
_cell_length_c 9.494
_cell_angle_alpha 102.56
_cell_angle_beta 91.13
_cell_angle_gamma 119.96
_space_group_name_H-M_alt 'P -1'
_space_group_IT_number 2
loop_
_space_group_symop_operation_xyz
'x,y,z'
'-x,-y,-z'
loop_
_atom_site_label
_atom_site_type_symbol
_atom_site_fract_x
_atom_site_fract_y
_atom_site_fract_z
K1 K 0.093 0.164 0.265
Al1 Al 0.333 0.667 0.000
# Crystal system = triclinic
# V = 42.49 Å³ per atom
# Formation energy = 0.12 eV per atom
# ΔE to the lowest computed polymorph = 0.0 meV per atom

---

Record 3
# Ac4Co2Ni, optimized geometry, DFT PBE
data_Ac4Co2Ni
_cell_length_a 6.836
_cell_length_b 4.303
_cell_length_c 7.512
_cell_angle_alpha 90.00
_cell_angle_beta 102.71
_cell_angle_gamma 90.00
_space_group_name_H-M_alt 'P 1 2/m 1'
_space_group_IT_number 10
loop_
_space_group_symop_operation_xyz
'x,y,z'
'-x,-y,-z'
'-x,y,-z'
'x,-y,z'
loop_
_atom_site_label
_atom_site_type_symbol
_atom_site_fract_x
_atom_site_fract_y
_atom_site_fract_z
Ac1 Ac 0.080 0.000 0.252
Ac2 Ac 0.405 0.500 0.749
Co1 Co 0.335 0.000 0.002
Ni1 Ni 0.000 0.500 0.500
# Crystal system = monoclinic
# V = 30.79 Å³ per atom
# Formation energy = 0.01 eV per atom

---

Record 4
# ZnTeSe2, optimized geometry, DFT PBE
data_ZnTeSe2
_cell_length_a 11.710
_cell_length_b 4.090
_cell_length_c 4.344
_cell_angle_alpha 90.00
_cell_angle_beta 110.18
_cell_angle_gamma 90.00
_space_group_name_H-M_alt 'C 1 m 1'
_space_group_IT_number 8
loop_
_space_group_symop_operation_xyz
'x,y,z'
'x,-y,z'
'x+1/2,y+1/2,z'
'x+1/2,-y+1/2,z'
loop_
_atom_site_label
_atom_site_type_symbol
_atom_site_fract_x
_atom_site_fract_y
_atom_site_fract_z
Zn1 Zn 0.000 0.000 0.000
Te1 Te 0.248 0.500 0.583
Se1 Se 0.227 0.000 0.059
Se2 Se 0.492 0.000 0.337
# Crystal system = monoclinic
# V = 24.41 Å³ per atom
# ΔE to the lowest computed polymorph = 47.9 meV per atom

---

Record 5
# CoSn2SCl, optimized geometry, DFT PBE
data_CoSn2SCl
_cell_length_a 5.661
_cell_length_b 5.661
_cell_length_c 3.972
_cell_angle_alpha 90.00
_cell_angle_beta 90.00
_cell_angle_gamma 90.00
_space_group_name_H-M_alt 'P 4/m m m'
_space_group_IT_number 123
_space_group_name_Hall '-P 4 2'
loop_
_atom_site_label
_atom_site_type_symbol
_atom_site_fract_x
_atom_site_fract_y
_atom_site_fract_z
Co1 Co 0.000 0.000 0.000
Sn1 Sn 0.000 0.500 0.500
S1 S 0.000 0.000 0.500
Cl1 Cl 0.500 0.500 0.000
# Crystal system = tetragonal
# V = 25.46 Å³ per atom
# Uncorrected energy = -4.13 eV per atom

---

Record 6
# Ba2AsBr, optimized geometry, DFT PBE
data_Ba2AsBr
_cell_length_a 4.7200
_cell_length_b 4.7200
_cell_length_c 24.9701
_cell_angle_alpha 90.00
_cell_angle_beta 90.00
_cell_angle_gamma 120.00
_space_group_name_H-M_alt 'R 3 m'
_space_group_IT_number 160
_space_group_name_Hall 'R 3 -2"'
loop_
_atom_site_label
_atom_site_type_symbol
_atom_site_fract_x
_atom_site_fract_y
_atom_site_fract_z
Ba1 Ba 0.0000 0.0000 0.0000
Ba2 Ba 0.0000 0.0000 0.1912
As1 As 0.0000 0.0000 0.5956
Br1 Br 0.0000 0.0000 0.4259
# Crystal system = trigonal
# V = 40.15 Å³ per atom
# Uncorrected energy = -4.11 eV per atom